# 1
Crystalline Nb2TeSe3 at its relaxed geometry, computed with PBE.

a b c (Å): 3.509 3.509 27.976
angles (deg): 90.00 90.00 120.00
Element x y z (fractional)
Nb 0.667 0.333 0.993
Nb 0.667 0.333 0.506
Nb 0.333 0.667 0.750
Nb 0.333 0.667 0.249
Te 0.667 0.333 0.179
Te 0.667 0.333 0.318
Se 0.667 0.333 0.690
Se 0.333 0.667 0.053
Se 0.333 0.667 0.565
Se 0.333 0.667 0.933
Se 0.333 0.667 0.446
Se 0.667 0.333 0.809

Results
As for the density of states at the Fermi level: 1.222 states/eV per atom. The calculation puts the formation energy (no corrections) at -4.45 eV/f.u. The calculation puts the excess energy over the best structure of this formula in the dataset at 0 meV/atom. The space group is P3m1.

# 2
Crystalline NiPb2Cl6 at its relaxed geometry, computed with PBE.

a b c (Å): 6.636 7.509 9.210
angles (deg): 90.00 91.68 90.00
Element x y z (fractional)
Ni 0.500 0.500 0.000
Ni 0.000 0.000 0.500
Pb 0.980 0.399 0.745
Pb 0.520 0.899 0.755
Pb 0.480 0.101 0.245
Pb 0.020 0.601 0.255
Cl 0.889 0.973 0.253
Cl 0.846 0.710 0.553
Cl 0.805 0.658 0.950
Cl 0.695 0.158 0.550
Cl 0.654 0.210 0.947
Cl 0.611 0.473 0.247
Cl 0.111 0.027 0.747
Cl 0.154 0.290 0.447
Cl 0.195 0.342 0.050
Cl 0.305 0.842 0.450
Cl 0.346 0.790 0.053
Cl 0.389 0.527 0.753

Results
The calculation puts the formation energy (no corrections) at -8.54 eV/f.u. The calculation puts the excess energy over the best structure of this formula in the dataset at 0 meV/atom. The space group is P2_1/c.

# 3
Crystalline Pu2PaAs2N2 at its relaxed geometry, computed with PBE.

a b c (Å): 3.888 6.357 6.709
angles (deg): 64.37 73.16 72.19
Element x y z (fractional)
Pu 0.189 0.364 0.257
Pu 0.811 0.636 0.743
Pa 0.000 0.000 0.000
As 0.565 0.220 0.650
As 0.435 0.780 0.350
N 0.198 0.690 0.915
N 0.802 0.310 0.085

Results
As for the density of states at the Fermi level: 1.930 states/eV per atom. The calculation puts the formation energy (no corrections) at -8.50 eV/f.u. The space group is C2/m.

# 4
Crystalline MnTl2Se at its relaxed geometry, computed with PBE.

a b c (Å): 3.487 3.487 8.245
angles (deg): 90.00 90.00 90.00
Element x y z (fractional)
Mn 0.000 0.000 0.564
Se 0.500 0.500 0.672
Tl 0.000 0.000 0.973
Tl 0.500 0.500 0.291

Results
As for the density of states at the Fermi level: 0.792 states/eV per atom. The calculation puts the formation energy (no corrections) at -0.09 eV/f.u. The calculation puts the excess energy over the best structure of this formula in the dataset at 32 meV/atom. The space group is P4mm.

# 5
Crystalline Y2TlSe at its relaxed geometry, computed with PBE.

a b c (Å): 3.903 3.903 8.552
angles (deg): 76.81 76.81 60.00
Element x y z (fractional)
Y 0.070 0.070 0.789
Y 0.262 0.262 0.213
Tl 0.500 0.500 0.501
Se 0.667 0.667 0.998

Results
As for the density of states at the Fermi level: 0.709 states/eV per atom. The calculation puts the formation energy (no corrections) at -4.12 eV/f.u. The calculation puts the excess energy over the best structure of this formula in the dataset at 47 meV/atom. The space group is R3m.

# 6
Crystalline La5Tm6Th2 at its relaxed geometry, computed with PBE.

a b c (Å): 3.598 11.585 21.035
angles (deg): 90.00 90.00 90.00
Element x y z (fractional)
La 0.500 0.309 0.419
La 0.500 0.691 0.581
La 0.500 0.809 0.081
La 0.500 0.191 0.919
La 0.500 0.558 0.296
La 0.500 0.442 0.704
La 0.500 0.058 0.204
La 0.500 0.942 0.796
La 0.500 0.500 0.000
La 0.500 0.000 0.500
Tm 0.000 0.057 0.350
Tm 0.000 0.943 0.650
Tm 0.000 0.557 0.150
Tm 0.000 0.443 0.850
Tm 0.500 0.311 0.122
Tm 0.500 0.689 0.878
Tm 0.500 0.811 0.378
Tm 0.500 0.189 0.622
Tm 0.000 0.584 0.439
Tm 0.000 0.416 0.561
Tm 0.000 0.084 0.061
Tm 0.000 0.916 0.939
Th 0.000 0.306 0.262
Th 0.000 0.694 0.738
Th 0.000 0.806 0.238
Th 0.000 0.194 0.762

Results
As for the density of states at the Fermi level: 1.469 states/eV per atom. The energy of formation comes out at 106 meV per atom. The space group is Pbam.

# 7
Crystalline CsIn6Hg4 at its relaxed geometry, computed with PBE.

a b c (Å): 4.952 8.719 8.720
angles (deg): 120.00 90.00 90.00
Element x y z (fractional)
Cs 0.000 0.000 0.000
In 0.000 0.537 0.073
In 0.500 0.591 0.796
In 0.000 0.537 0.463
In 0.000 0.927 0.463
In 0.500 0.204 0.796
In 0.500 0.204 0.409
Hg 0.500 0.798 0.597
Hg 0.500 0.403 0.202
Hg 0.500 0.798 0.202
Hg 0.000 0.333 0.667

Results
As for the density of states at the Fermi level: 0.362 states/eV per atom. The energy of formation comes out at -78 meV per atom. The space group is P-6m2.

# 8
Crystalline ErScSnRu at its relaxed geometry, computed with PBE.

a b c (Å): 4.906 4.906 4.906
angles (deg): 60.00 60.00 60.00
Element x y z (fractional)
Sc 0.500 0.500 0.500
Ru 0.750 0.750 0.750
Sn 0.250 0.250 0.250
Er 0.000 0.000 0.000

Results
As for the density of states at the Fermi level: 0.550 states/eV per atom. The energy of formation comes out at -458 meV per atom. The space group is F-43m.

Spin magnetization readings, ordered: 0.236, 3.911, 8.992, 4.054, 0.000, 0.000, 0.000, 0.000 μB/cell
Raw total energy readings, ordered: -38.19, -32.81, -72.61, -17.48, -22.90, -64.92, -19.35, -26.01 eV/f.u.